No. 1
TcTe2IF | PBE | optimized geometry

As for the density: 5.88 g/cm3. As for the density of states at the Fermi level: 3.0 states/eV/f.u. The total energy comes out at -17.087 eV per cell. The energy relative to the lowest polymorph listed for this composition comes out at 401 meV per atom. The value obtained for the spin magnetization is 4.926 Bohr magnetons per cell. Its volume is 141 Å³/cell. The formation energy without anion corrections is 57.6 kJ per mole of atoms.

a = 4.665 Å, b = 4.665 Å, c = 6.476 Å
α = 90.00°, β = 90.00°, γ = 90.00°
Space group P4/mmm (No. 123)
One atom of each set of equivalent atoms:
1 Tc 0.000 0.000 0.000
2 Te 0.000 0.500 0.500
3 I 0.500 0.500 0.000
4 F 0.500 0.500 0.500


No. 2
YTcI2F | PBE | optimized geometry

As for the density: 3.69 g/cm3. As for the density of states at the Fermi level: 11.7 states/eV/f.u. The total energy comes out at -20.758 eV per cell. The value obtained for the spin magnetization is 4.430 Bohr magnetons per cell. Its volume is 207 Å³/cell. The formation energy without anion corrections is 20.1 kJ per mole of atoms.

a = 5.821 Å, b = 5.821 Å, c = 6.103 Å
α = 90.00°, β = 90.00°, γ = 90.00°
Space group P4/mmm (No. 123)
One atom of each set of equivalent atoms:
1 Y 0.000 0.000 0.000
2 Tc 0.000 0.000 0.500
3 I 0.000 0.500 0.000
4 F 0.500 0.500 0.500


No. 3
TeIF | PBE | optimized geometry

As for the density: 3.85 g/cm3. The total energy comes out at -18.151 eV per cell. The energy relative to the lowest polymorph listed for this composition comes out at 0 meV per atom. The value obtained for the spin magnetization is 0.000 Bohr magnetons per cell. Its volume is 236 Å³/cell. The formation energy without anion corrections is -80.8 kJ per mole of atoms.

a = 5.719 Å, b = 6.503 Å, c = 6.622 Å
α = 95.77°, β = 105.16°, γ = 92.34°
Space group P1 (No. 1)
One atom of each set of equivalent atoms:
1 Te 0.000 0.000 0.000
2 Te 0.239 0.143 0.727
3 I 0.453 0.295 0.194
4 I 0.587 0.761 0.719
5 F 0.029 0.994 0.463
6 F 0.043 0.381 0.663


No. 4
TeI2F | PBE | optimized geometry

As for the density: 6.37 g/cm3. As for the density of states at the Fermi level: 1.8 states/eV/f.u. The total energy comes out at -33.602 eV per cell. The energy relative to the lowest polymorph listed for this composition comes out at 546 meV per atom. The value obtained for the spin magnetization is 0.000 Bohr magnetons per cell. Its volume is 418 Å³/cell. The formation energy without anion corrections is -6.9 kJ per mole of atoms.

a = 7.475 Å, b = 7.475 Å, c = 7.475 Å
α = 90.00°, β = 90.00°, γ = 90.00°
Space group Fm-3m (No. 225)
One atom of each set of equivalent atoms:
1 Te 0.000 0.000 0.000
2 I 0.250 0.250 0.250
3 F 0.000 0.000 0.500


No. 5
TeI2F | PBE | optimized geometry

As for the density: 3.76 g/cm3. The total energy comes out at -42.331 eV per cell. The energy relative to the lowest polymorph listed for this composition comes out at 0 meV per atom. The value obtained for the spin magnetization is 0.000 Bohr magnetons per cell. Its volume is 707 Å³/cell. The formation energy without anion corrections is -59.6 kJ per mole of atoms.

a = 7.592 Å, b = 7.112 Å, c = 14.778 Å
α = 90.00°, β = 117.58°, γ = 90.00°
Space group P2_1/c (No. 14)
One atom of each set of equivalent atoms:
1 Te 0.165 0.009 0.410
2 I 0.148 0.246 0.581
3 I 0.462 0.236 0.407
4 F 0.167 0.662 0.804


No. 6
TeI2F | PBE | optimized geometry

As for the density: 4.89 g/cm3. As for the density of states at the Fermi level: 4.3 states/eV/f.u. The total energy comes out at -33.214 eV per cell. The energy relative to the lowest polymorph listed for this composition comes out at 570 meV per atom. The value obtained for the spin magnetization is 0.000 Bohr magnetons per cell. Its volume is 544 Å³/cell. The formation energy without anion corrections is -4.6 kJ per mole of atoms.

a = 5.520 Å, b = 5.520 Å, c = 17.859 Å
α = 90.00°, β = 90.00°, γ = 90.00°
Space group I-42d (No. 122)
One atom of each set of equivalent atoms:
1 Te 0.000 0.000 0.000
2 I 0.248 0.250 0.625
3 F 0.000 0.000 0.500


No. 7
TeI3F | PBE | optimized geometry

As for the density: 3.54 g/cm3. The total energy comes out at -48.366 eV per cell. The energy relative to the lowest polymorph listed for this composition comes out at 0 meV per atom. The value obtained for the spin magnetization is 0.000 Bohr magnetons per cell. Its volume is 989 Å³/cell. The formation energy without anion corrections is -46.9 kJ per mole of atoms.

a = 4.493 Å, b = 7.961 Å, c = 27.712 Å
α = 90.00°, β = 93.80°, γ = 90.00°
Space group P2/c (No. 13)
One atom of each set of equivalent atoms:
1 Te 0.183 0.055 0.114
2 I 0.159 0.282 0.555
3 I 0.197 0.322 0.179
4 I 0.455 0.191 0.458
5 F 0.486 0.053 0.848


No. 8
Te2IF | PBE | optimized geometry

As for the density: 5.83 g/cm3. As for the density of states at the Fermi level: 0.2 states/eV/f.u. The total energy comes out at -34.289 eV per cell. The energy relative to the lowest polymorph listed for this composition comes out at 0 meV per atom. The value obtained for the spin magnetization is 0.000 Bohr magnetons per cell. Its volume is 343 Å³/cell. The formation energy without anion corrections is -41.6 kJ per mole of atoms.

a = 4.4988 Å, b = 4.4988 Å, c = 19.5479 Å
α = 90.00°, β = 90.00°, γ = 120.00°
Space group R-3m (No. 166, hexagonal axes)
One atom of each set of equivalent atoms:
1 Te 0.0000 0.0000 0.2032
2 I 0.0000 0.0000 0.0000
3 F 0.0000 0.0000 0.5000


No. 9
Te2IF | PBE | optimized geometry

As for the density: 5.26 g/cm3. As for the density of states at the Fermi level: 5.0 states/eV/f.u. The total energy comes out at -41.412 eV per cell. The energy relative to the lowest polymorph listed for this composition comes out at 269 meV per atom. The value obtained for the spin magnetization is 0.000 Bohr magnetons per cell. Its volume is 506 Å³/cell. The formation energy without anion corrections is -15.6 kJ per mole of atoms.

a = 5.229 Å, b = 5.229 Å, c = 18.505 Å
α = 90.00°, β = 90.00°, γ = 90.00°
Space group I-42d (No. 122)
One atom of each set of equivalent atoms:
1 Te 0.123 0.250 0.125
2 I 0.000 0.000 0.500
3 F 0.000 0.000 0.000


No. 10
TeI3F | PBE | optimized geometry

As for the density: 4.19 g/cm3. As for the density of states at the Fermi level: 16.5 states/eV/f.u. The total energy comes out at -9.401 eV per cell. The energy relative to the lowest polymorph listed for this composition comes out at 538 meV per atom. The value obtained for the spin magnetization is 0.415 Bohr magnetons per cell. Its volume is 209 Å³/cell. The formation energy without anion corrections is 5.1 kJ per mole of atoms.

a = 5.934 Å, b = 5.934 Å, c = 5.934 Å
α = 90.00°, β = 90.00°, γ = 90.00°
Space group Pm-3m (No. 221)
One atom of each set of equivalent atoms:
1 Te 0.000 0.000 0.000
2 I 0.000 0.000 0.500
3 F 0.500 0.500 0.500


No. 11
TeIF | PBE | optimized geometry

As for the density: 4.67 g/cm3. As for the density of states at the Fermi level: 0.4 states/eV/f.u. The total energy comes out at -17.500 eV per cell. The energy relative to the lowest polymorph listed for this composition comes out at 108 meV per atom. The value obtained for the spin magnetization is 0.000 Bohr magnetons per cell. Its volume is 195 Å³/cell. The formation energy without anion corrections is -70.3 kJ per mole of atoms.

a = 4.412 Å, b = 6.324 Å, c = 7.392 Å
α = 79.48°, β = 82.30°, γ = 74.41°
Space group P-1 (No. 2)
One atom of each set of equivalent atoms:
1 Te 0.117 0.462 0.315
2 I 0.289 0.838 0.809
3 F 0.409 0.647 0.341


No. 12
TeIF3 | PBE | optimized geometry

As for the density: 5.54 g/cm3. As for the density of states at the Fermi level: 2.9 states/eV/f.u. The total energy comes out at -15.298 eV per cell. The energy relative to the lowest polymorph listed for this composition comes out at 502 meV per atom. The value obtained for the spin magnetization is 0.000 Bohr magnetons per cell. Its volume is 93 Å³/cell. The formation energy without anion corrections is -96.3 kJ per mole of atoms.

a = 4.537 Å, b = 4.537 Å, c = 4.537 Å
α = 90.00°, β = 90.00°, γ = 90.00°
Space group Pm-3m (No. 221)
One atom of each set of equivalent atoms:
1 Te 0.000 0.000 0.000
2 I 0.500 0.500 0.500
3 F 0.000 0.000 0.500


No. 13
TeIF3 | PBE | optimized geometry

As for the density: 4.21 g/cm3. As for the density of states at the Fermi level: 0.0 states/eV/f.u. The total energy comes out at -35.619 eV per cell. The energy relative to the lowest polymorph listed for this composition comes out at 0 meV per atom. The value obtained for the spin magnetization is 0.000 Bohr magnetons per cell. Its volume is 246 Å³/cell. The formation energy without anion corrections is -144.8 kJ per mole of atoms.

a = 7.400 Å, b = 5.927 Å, c = 5.607 Å
α = 90.00°, β = 90.00°, γ = 90.00°
Space group Pmn2_1 (No. 31)
One atom of each set of equivalent atoms:
1 Te 0.000 0.016 0.000
2 I 0.000 0.615 0.273
3 F 0.000 0.215 0.722
4 F 0.198 0.881 0.828


No. 14
Te2IF | PBE | optimized geometry

As for the density: 6.62 g/cm3. As for the density of states at the Fermi level: 2.9 states/eV/f.u. The total energy comes out at -37.077 eV per cell. The energy relative to the lowest polymorph listed for this composition comes out at 540 meV per atom. The value obtained for the spin magnetization is 0.000 Bohr magnetons per cell. Its volume is 402 Å³/cell. The formation energy without anion corrections is 10.5 kJ per mole of atoms.

a = 7.382 Å, b = 7.382 Å, c = 7.382 Å
α = 90.00°, β = 90.00°, γ = 90.00°
Space group Fm-3m (No. 225)
One atom of each set of equivalent atoms:
1 Te 0.250 0.250 0.250
2 I 0.000 0.000 0.000
3 F 0.000 0.000 0.500


No. 15
TeI3F | PBE | optimized geometry

As for the density: 5.78 g/cm3. As for the density of states at the Fermi level: 3.8 states/eV/f.u. The total energy comes out at -7.750 eV per cell. The energy relative to the lowest polymorph listed for this composition comes out at 868 meV per atom. The value obtained for the spin magnetization is 1.804 Bohr magnetons per cell. Its volume is 152 Å³/cell. The formation energy without anion corrections is 36.9 kJ per mole of atoms.

a = 5.332 Å, b = 5.332 Å, c = 5.332 Å
α = 90.00°, β = 90.00°, γ = 90.00°
Space group Pm-3m (No. 221)
One atom of each set of equivalent atoms:
1 Te 0.000 0.000 0.000
2 I 0.000 0.500 0.500
3 F 0.500 0.500 0.500


No. 16
TeIF3 | PBE | optimized geometry

As for the density: 4.78 g/cm3. As for the density of states at the Fermi level: 2.2 states/eV/f.u. The total energy comes out at -12.377 eV per cell. The energy relative to the lowest polymorph listed for this composition comes out at 1086 meV per atom. The value obtained for the spin magnetization is 2.388 Bohr magnetons per cell. Its volume is 108 Å³/cell. The formation energy without anion corrections is -40.0 kJ per mole of atoms.

a = 4.764 Å, b = 4.764 Å, c = 4.764 Å
α = 90.00°, β = 90.00°, γ = 90.00°
Space group Pm-3m (No. 221)
One atom of each set of equivalent atoms:
1 Te 0.000 0.000 0.000
2 I 0.500 0.500 0.500
3 F 0.000 0.500 0.500


No. 17
TiTeI2F | PBE | optimized geometry

As for the density: 5.33 g/cm3. As for the density of states at the Fermi level: 9.1 states/eV/f.u. The total energy comes out at -15.093 eV per cell. The energy relative to the lowest polymorph listed for this composition comes out at 563 meV per atom. The value obtained for the spin magnetization is 0.074 Bohr magnetons per cell. Its volume is 140 Å³/cell. The formation energy without anion corrections is 17.7 kJ per mole of atoms.

a = 5.734 Å, b = 5.734 Å, c = 4.245 Å
α = 90.00°, β = 90.00°, γ = 90.00°
Space group P4/mmm (No. 123)
One atom of each set of equivalent atoms:
1 Ti 0.000 0.000 0.000
2 Te 0.500 0.500 0.000
3 I 0.000 0.500 0.500
4 F 0.500 0.500 0.500


No. 18
TiTeI2F | PBE | optimized geometry

As for the density: 4.84 g/cm3. As for the density of states at the Fermi level: 8.7 states/eV/f.u. The total energy comes out at -17.911 eV per cell. The energy relative to the lowest polymorph listed for this composition comes out at 0 meV per atom. The value obtained for the spin magnetization is 0.000 Bohr magnetons per cell. Its volume is 154 Å³/cell. The formation energy without anion corrections is -36.7 kJ per mole of atoms.

a = 5.386 Å, b = 5.386 Å, c = 5.303 Å
α = 90.00°, β = 90.00°, γ = 90.00°
Space group P4/mmm (No. 123)
One atom of each set of equivalent atoms:
1 Ti 0.000 0.000 0.000
2 Te 0.000 0.000 0.500
3 I 0.000 0.500 0.000
4 F 0.500 0.500 0.500


No. 19
TiTe2IF | PBE | optimized geometry

As for the density: 5.00 g/cm3. As for the density of states at the Fermi level: 7.4 states/eV/f.u. The total energy comes out at -19.167 eV per cell. The energy relative to the lowest polymorph listed for this composition comes out at 0 meV per atom. The value obtained for the spin magnetization is 0.448 Bohr magnetons per cell. Its volume is 149 Å³/cell. The formation energy without anion corrections is -30.2 kJ per mole of atoms.

a = 5.259 Å, b = 5.259 Å, c = 5.392 Å
α = 90.00°, β = 90.00°, γ = 90.00°
Space group P4/mmm (No. 123)
One atom of each set of equivalent atoms:
1 Ti 0.000 0.000 0.000
2 Te 0.000 0.500 0.000
3 I 0.000 0.000 0.500
4 F 0.500 0.500 0.500


No. 20
TiTe2IF | PBE | optimized geometry

As for the density: 5.62 g/cm3. As for the density of states at the Fermi level: 7.6 states/eV/f.u. The total energy comes out at -16.874 eV per cell. The energy relative to the lowest polymorph listed for this composition comes out at 459 meV per atom. The value obtained for the spin magnetization is 0.253 Bohr magnetons per cell. Its volume is 133 Å³/cell. The formation energy without anion corrections is 14.0 kJ per mole of atoms.

a = 4.687 Å, b = 4.687 Å, c = 6.042 Å
α = 90.00°, β = 90.00°, γ = 90.00°
Space group P4/mmm (No. 123)
One atom of each set of equivalent atoms:
1 Ti 0.000 0.000 0.000
2 Te 0.000 0.500 0.500
3 I 0.500 0.500 0.000
4 F 0.500 0.500 0.500


No. 21
Tl4TeIF | PBE | optimized geometry

As for the density: 7.23 g/cm3. The total energy comes out at -43.306 eV per cell. The value obtained for the spin magnetization is 0.000 Bohr magnetons per cell. Its volume is 501 Å³/cell. The formation energy without anion corrections is -77.5 kJ per mole of atoms.

a = 7.355 Å, b = 7.320 Å, c = 9.945 Å
α = 90.00°, β = 110.68°, γ = 90.00°
Space group P2_1/m (No. 11)
One atom of each set of equivalent atoms:
1 Tl 0.060 0.013 0.243
2 Tl 0.377 0.250 0.628
3 Tl 0.386 0.250 0.066
4 Te 0.257 0.750 0.056
5 I 0.277 0.750 0.573
6 F 0.172 0.250 0.790


No. 22
UTeIF | PBE | optimized geometry

As for the density: 7.03 g/cm3. As for the density of states at the Fermi level: 3.2 states/eV/f.u. The total energy comes out at -72.512 eV per cell. The value obtained for the spin magnetization is 5.999 Bohr magnetons per cell. Its volume is 362 Å³/cell. The formation energy without anion corrections is -152.4 kJ per mole of atoms.

a = 4.1416 Å, b = 4.1416 Å, c = 24.3847 Å
α = 90.00°, β = 90.00°, γ = 120.00°
Space group R3m (No. 160, hexagonal axes)
One atom of each set of equivalent atoms:
1 U 0.0000 0.0000 0.0000
2 Te 0.0000 0.0000 0.7497
3 I 0.0000 0.0000 0.5723
4 F 0.0000 0.0000 0.3229